CsAsF3: relaxed, PBE.

Total DFT energy (no corrections): -0.1635 Ha/atom
Uncorrected formation energy: -2.224 eV per atom
Total magnetization: 0.00 μB per formula unit
Distance to the lowest polymorph of the same formula: 0.00 kcal/mol of atoms

Lattice parameters (Å, degrees): 7.150 5.114 12.772 90.00 105.19 90.00
Space group P2_1/c (No. 14)
Asymmetric unit:
Cs1 0.104 0.222 0.137 [4 per cell]
As1 0.476 0.200 0.432 [4 per cell]
F1 0.186 0.182 0.390 [4 per cell]
F2 0.242 0.716 0.055 [4 per cell]
F3 0.462 0.518 0.816 [4 per cell]

---

HoAl6Ir3: relaxed, PBE.

Formation energy: -791 meV per atom
Total DFT energy (no corrections): -0.2261 Ha/atom
Total magnetization: 0.00 μB per formula unit

Lattice parameters (Å, degrees): 8.071 4.220 9.873 90.00 97.24 90.00
Space group P2_1/m (No. 11)
Asymmetric unit:
Ho1 0.061 0.250 0.274 [2 per cell]
Al1 0.130 0.250 0.594 [2 per cell]
Al2 0.136 0.750 0.023 [2 per cell]
Al3 0.314 0.750 0.760 [2 per cell]
Al4 0.327 0.750 0.268 [2 per cell]
Al5 0.425 0.250 0.431 [2 per cell]
Al6 0.460 0.250 0.914 [2 per cell]
Ir1 0.150 0.250 0.864 [2 per cell]
Ir2 0.246 0.750 0.498 [2 per cell]
Ir3 0.375 0.250 0.148 [2 per cell]